1.
DFT (PBE-GGA) results for crystalline CrInGe2Cl8 at its relaxed geometry.

As for the crystal system: triclinic. For the calculated volume, the calculation gives 332.0 Å³/cell. The value obtained for the energy is -46.94 eV for the cell shown. The size of the total moment is 3.0 μB per formula unit.

a = 6.7253 Å, b = 6.7795 Å, c = 8.3269 Å
α = 89.73°, β = 89.65°, γ = 60.98°
With the nearest neighbours (Å) after each atom.
Fractional coordinates of all 12 atoms:
Cr: 0.0000 0.0000 0.0000  6 Cl 2.36
In: 0.0000 0.0000 0.5000  6 Cl 3.36-3.40
Ge: 0.3356 0.3323 0.1609  1 Cl 2.26
Ge: 0.6644 0.6677 0.8391  1 Cl 2.26
Cl: 0.0506 0.6964 0.8346  1 Cr 2.36
Cl: 0.2569 0.0523 0.8345  1 Cr 2.36
Cl: 0.3002 0.7506 0.1674  1 Cr 2.36
Cl: 0.3351 0.3296 0.4326  1 Ge 2.26
Cl: 0.6649 0.6704 0.5674  1 Ge 2.26
Cl: 0.6998 0.2494 0.8326  1 Cr 2.36
Cl: 0.7431 0.9477 0.1655  1 Cr 2.36
Cl: 0.9494 0.3036 0.1654  1 Cr 2.36

=====

2.
DFT (PBE-GGA) results for crystalline Cr2InGeCl at its relaxed geometry.

As for the crystal system: tetragonal. For the calculated volume, the calculation gives 107.0 Å³/cell. The value obtained for the energy is -24.66 eV for the cell shown. The size of the total moment is 7.4 μB per formula unit.

a = 4.5408 Å, b = 4.5408 Å, c = 5.1892 Å
α = 90.00°, β = 90.00°, γ = 90.00°
With the nearest neighbours (Å) after each atom.
Fractional coordinates of all 5 atoms:
Cr: 0.0000 0.5000 0.0000  2 Cl 2.27
Cr: 0.5000 0.0000 0.0000  2 Cl 2.27
In: 0.0000 0.0000 0.5000  4 Ge 3.21, 8 Cr 3.45
Ge: 0.5000 0.5000 0.5000  2 Cl 2.59
Cl: 0.5000 0.5000 0.0000  4 Cr 2.27

=====

3.
DFT (PBE-GGA) results for crystalline K2CrGeCl6 at its relaxed geometry.

As for the crystal system: tetragonal. For the calculated volume, the calculation gives 267.5 Å³/cell. The value obtained for the energy is -40.48 eV for the cell shown. The size of the total moment is 4.0 μB per formula unit.

a = 7.2309 Å, b = 7.2309 Å, c = 7.2309 Å
α = 119.96°, β = 119.96°, γ = 90.08°
With the nearest neighbours (Å) after each atom.
Fractional coordinates of all 10 atoms:
K: 0.2500 0.7500 0.5000  12 Cl 3.62
K: 0.7500 0.2500 0.5000  12 Cl 3.62
Cr: 0.0000 0.0000 0.0000  6 Cl 2.47-2.48
Ge: 0.5000 0.5000 0.0000  6 Cl 2.64
Cl: 0.2417 0.2417 0.0000  1 Cr 2.47, 1 Ge 2.64
Cl: 0.2420 0.2420 0.4840  1 Cr 2.48, 1 Ge 2.64
Cl: 0.2420 0.7580 0.0000  1 Cr 2.48, 1 Ge 2.64
Cl: 0.7580 0.2420 0.0000  1 Cr 2.48, 1 Ge 2.64
Cl: 0.7583 0.7583 0.0000  1 Cr 2.47, 1 Ge 2.64
Cl: 0.7580 0.7580 0.5160  1 Cr 2.48, 1 Ge 2.64

=====

4.
DFT (PBE-GGA) results for crystalline KCrGeCl5 at its relaxed geometry.

As for the crystal system: monoclinic. For the calculated volume, the calculation gives 442.6 Å³/cell. The value obtained for the energy is -66.86 eV for the cell shown. The size of the total moment is 4.0 μB per formula unit.

a = 7.3401 Å, b = 7.3401 Å, c = 8.9062 Å
α = 95.76°, β = 95.76°, γ = 110.44°
With the nearest neighbours (Å) after each atom.
Fractional coordinates of all 16 atoms:
K: 0.1625 0.8375 0.7500  7 Cl 3.14-3.45
K: 0.8375 0.1625 0.2500  7 Cl 3.14-3.45
Cr: 0.5000 0.5000 0.0000  4 Cl 2.38-2.41
Cr: 0.5000 0.5000 0.5000  4 Cl 2.38-2.41
Ge: 0.1401 0.8599 0.2500  2 Cl 2.33
Ge: 0.8599 0.1401 0.7500  2 Cl 2.33
Cl: 0.1646 0.6179 0.3918  1 Ge 2.33
Cl: 0.1701 0.2831 0.9945  1 Cr 2.38
Cl: 0.2831 0.1701 0.4945  1 Cr 2.38
Cl: 0.3821 0.8354 0.1082  1 Ge 2.33
Cl: 0.4232 0.5768 0.7500  2 Cr 2.41
Cl: 0.5768 0.4232 0.2500  2 Cr 2.41
Cl: 0.6179 0.1646 0.8918  1 Ge 2.33
Cl: 0.7169 0.8299 0.5055  1 Cr 2.38
Cl: 0.8299 0.7169 0.0055  1 Cr 2.38
Cl: 0.8354 0.3821 0.6082  1 Ge 2.33

=====

5.
DFT (PBE-GGA) results for crystalline CrGeN2Cl at its relaxed geometry.

As for the crystal system: tetragonal. For the calculated volume, the calculation gives 71.7 Å³/cell. The value obtained for the energy is -30.91 eV for the cell shown. The size of the total moment is 0.0 μB per formula unit.

a = 3.6736 Å, b = 3.6736 Å, c = 5.3133 Å
α = 90.00°, β = 90.00°, γ = 90.00°
With the nearest neighbours (Å) after each atom.
Fractional coordinates of all 5 atoms:
Cr: 0.0000 0.0000 0.0000  4 N 1.84
Ge: 0.0000 0.0000 0.5000  4 Cl 2.60, 2 Cr 2.66
N: 0.0000 0.5000 0.0000  2 Cr 1.84
N: 0.5000 0.0000 0.0000  2 Cr 1.84
Cl: 0.5000 0.5000 0.5000  4 Ge 2.60

=====

6.
DFT (PBE-GGA) results for crystalline NaCrGe2Cl8 at its relaxed geometry.

As for the crystal system: triclinic. For the calculated volume, the calculation gives 323.4 Å³/cell. The value obtained for the energy is -47.33 eV for the cell shown. The size of the total moment is 3.0 μB per formula unit.

a = 5.9997 Å, b = 6.9514 Å, c = 7.8526 Å
α = 95.62°, β = 95.22°, γ = 94.26°
With the nearest neighbours (Å) after each atom.
Fractional coordinates of all 12 atoms:
Na: 0.0000 0.0000 0.0000  6 Cl 2.75-2.98
Cr: 0.0000 0.0000 0.5000  6 Cl 2.33-2.40
Ge: 0.4654 0.5944 0.2629  3 Cl 2.30-2.51
Ge: 0.5346 0.4056 0.7371  3 Cl 2.30-2.51
Cl: 0.1915 0.7127 0.4530  1 Cr 2.39, 1 Ge 2.45
Cl: 0.2070 0.1631 0.3134  1 Cr 2.33
Cl: 0.2740 0.6598 0.0104  1 Ge 2.30
Cl: 0.2746 0.1056 0.7381  1 Cr 2.40, 1 Ge 2.51
Cl: 0.7254 0.8944 0.2619  1 Cr 2.40, 1 Ge 2.51
Cl: 0.7260 0.3402 0.9896  1 Ge 2.30
Cl: 0.7930 0.8369 0.6866  1 Cr 2.33
Cl: 0.8085 0.2873 0.5470  1 Cr 2.39, 1 Ge 2.45

=====

7.
DFT (PBE-GGA) results for crystalline CrGeP2Cl at its relaxed geometry.

As for the crystal system: tetragonal. For the calculated volume, the calculation gives 98.6 Å³/cell. The value obtained for the energy is -25.14 eV for the cell shown. The size of the total moment is 1.7 μB per formula unit. The offset from the most stable computed form comes out at 0.0 meV per atom.

a = 4.4932 Å, b = 4.4932 Å, c = 4.8855 Å
α = 90.00°, β = 90.00°, γ = 90.00°
With the nearest neighbours (Å) after each atom.
Fractional coordinates of all 5 atoms:
Cr: 0.0000 0.0000 0.0000  4 P 2.25, 2 Cl 2.44
Ge: 0.5000 0.5000 0.5000  4 Cl 3.18, 8 P 3.32
P: 0.0000 0.5000 0.0000  2 Cr 2.25
P: 0.5000 0.0000 0.0000  2 Cr 2.25
Cl: 0.0000 0.0000 0.5000  2 Cr 2.44

=====

8.
DFT (PBE-GGA) results for crystalline CrGePdCl2 at its relaxed geometry.

As for the crystal system: tetragonal. For the calculated volume, the calculation gives 126.6 Å³/cell. The value obtained for the energy is -20.39 eV for the cell shown. The size of the total moment is 4.4 μB per formula unit.

a = 5.0142 Å, b = 5.0142 Å, c = 5.0335 Å
α = 90.00°, β = 90.00°, γ = 90.00°
With the nearest neighbours (Å) after each atom.
Fractional coordinates of all 5 atoms:
Cr: 0.0000 0.0000 0.0000  2 Ge 2.52
Ge: 0.0000 0.0000 0.5000  4 Cl 2.51, 2 Cr 2.52
Pd: 0.5000 0.5000 0.0000  4 Cr 3.55, 8 Cl 3.55
Cl: 0.0000 0.5000 0.5000  2 Ge 2.51
Cl: 0.5000 0.0000 0.5000  2 Ge 2.51

=====

9.
DFT (PBE-GGA) results for crystalline Rb2CrGeCl at its relaxed geometry.

As for the crystal system: tetragonal. For the calculated volume, the calculation gives 252.3 Å³/cell. The value obtained for the energy is -15.76 eV for the cell shown. The size of the total moment is 6.9 μB per formula unit.

a = 6.9492 Å, b = 6.9492 Å, c = 5.2251 Å
α = 90.00°, β = 90.00°, γ = 90.00°
With the nearest neighbours (Å) after each atom.
Fractional coordinates of all 5 atoms:
Rb: 0.0000 0.5000 0.0000  2 Ge 3.47
Rb: 0.5000 0.0000 0.0000  2 Ge 3.47
Cr: 0.0000 0.0000 0.5000  8 Rb 4.35
Ge: 0.5000 0.5000 0.0000  2 Cl 2.61
Cl: 0.5000 0.5000 0.5000  2 Ge 2.61

=====

10.
DFT (PBE-GGA) results for crystalline Cr2GeSCl at its relaxed geometry.

As for the crystal system: tetragonal. For the calculated volume, the calculation gives 117.1 Å³/cell. The value obtained for the energy is -25.48 eV for the cell shown. The size of the total moment is 8.2 μB per formula unit.

a = 4.3877 Å, b = 4.3877 Å, c = 6.0842 Å
α = 90.00°, β = 90.00°, γ = 90.00°
With the nearest neighbours (Å) after each atom.
Fractional coordinates of all 5 atoms:
Cr: 0.0000 0.5000 0.0000  2 Cl 2.19
Cr: 0.5000 0.0000 0.0000  2 Cl 2.19
Ge: 0.0000 0.0000 0.5000  4 S 3.10
S: 0.5000 0.5000 0.5000  2 Cl 3.04, 4 Ge 3.10
Cl: 0.5000 0.5000 0.0000  4 Cr 2.19

=====

- The highest size of the total moment belongs to which entry?
  Cr2GeSCl